No. 1
MoRh8 at its PBEsol-relaxed geometry. Source: the Alexandria database, functional SCAN.

a = 8.038 Å, b = 8.038 Å, c = 3.791 Å
α = 90.00°, β = 90.00°, γ = 90.00°
Space group I4/mmm (No. 139)
One atom of each set of equivalent atoms:
Mo1 0.000 0.000 0.000
Rh1 0.000 0.331 0.000
Rh2 0.163 0.163 0.500

Results
- E_tot (eV/atom) = -34.03
- calculated formation energy (meV/atom) = -139

=====

No. 2
K2ScAgAu at its PBEsol-relaxed geometry. Source: the Alexandria database, functional SCAN.

a = 6.611 Å, b = 6.611 Å, c = 4.900 Å
α = 90.00°, β = 90.00°, γ = 90.00°
Space group P4/mmm (No. 123)
One atom of each set of equivalent atoms:
K1 0.000 0.500 0.000
Sc1 0.000 0.000 0.000
Ag1 0.500 0.500 0.500
Au1 0.000 0.000 0.500

Results
- E_tot (eV/atom) = -25.63
- calculated formation energy (meV/atom) = 656

=====

No. 3
BaRhAu2 at its PBEsol-relaxed geometry. Source: the Alexandria database, functional SCAN.

a = 3.868 Å, b = 3.888 Å, c = 6.262 Å
α = 90.00°, β = 90.00°, γ = 90.00°
Space group Pmm2 (No. 25)
One atom of each set of equivalent atoms:
Ba1 0.000 0.000 0.000
Rh1 0.500 0.000 0.442
Au1 0.000 0.500 0.413
Au2 0.500 0.500 0.735

Results
- E_tot (eV/atom) = -53.07
- calculated formation energy (meV/atom) = -161

=====

No. 4
CrP4O12 at its PBEsol-relaxed geometry. Source: the Alexandria database, functional SCAN.

a = 9.322 Å, b = 13.510 Å, c = 7.462 Å
α = 90.00°, β = 112.59°, γ = 90.00°
Space group C2/c (No. 15)
One atom of each set of equivalent atoms:
Cr1 0.000 0.133 0.250
P1 0.053 0.334 0.095
P2 0.136 0.080 0.697
O1 0.000 0.128 0.750
O2 0.000 0.390 0.250
O3 0.059 0.342 0.604
O4 0.111 0.230 0.184
O5 0.119 0.031 0.189
O6 0.142 0.127 0.516
O7 0.213 0.391 0.125

Results
- E_tot (eV/atom) = -10.17
- formation energy from raw total energies (eV per atom) = -2.246

=====

No. 5
CaBe2Ru at its PBEsol-relaxed geometry. Source: the Alexandria database, functional SCAN.

a = 3.814 Å, b = 3.814 Å, c = 7.744 Å
α = 90.00°, β = 90.00°, γ = 90.00°
Space group I-4m2 (No. 119)
One atom of each set of equivalent atoms:
Ca1 0.000 0.000 0.000
Be1 0.000 0.000 0.500
Be2 0.000 0.500 0.750
Ru1 0.000 0.500 0.250

Results
- E_tot (eV/atom) = -12.79
- calculated formation energy (meV/atom) = 511

=====

No. 6
Sb2S3O12 at its PBEsol-relaxed geometry. Source: the Alexandria database, functional SCAN.

a = 8.680 Å, b = 8.947 Å, c = 15.334 Å
α = 90.00°, β = 124.38°, γ = 90.00°
Space group P2_1/c (No. 14)
One atom of each set of equivalent atoms:
Sb1 0.120 0.018 0.384
Sb2 0.357 0.043 0.110
S1 0.065 0.642 0.672
S2 0.269 0.128 0.682
S3 0.464 0.746 0.501
O1 0.059 0.710 0.216
O2 0.122 0.094 0.913
O3 0.135 0.114 0.714
O4 0.148 0.529 0.762
O5 0.171 0.108 0.568
O6 0.196 0.649 0.641
O7 0.271 0.703 0.954
O8 0.364 0.226 0.219
O9 0.400 0.137 0.434
O10 0.412 0.004 0.736
O11 0.480 0.704 0.411
O12 0.499 0.112 0.932

Results
- E_tot (eV/atom) = -11.93
- formation energy from raw total energies (eV per atom) = -1.446